one:
DyTmCd | PBE-GGA | relaxed

Calculated values
Spin magnetization ... 0.96 Bohr magnetons per cell
DOS(E_F) ... 3.65 states/eV/f.u.

Cell: 3.567 3.567 6.995 Å, 104.77 104.77 90.00°
Each line ends with the local moment (μB).
Atoms (fractional coordinates):
Tm 0.011 0.011 0.021  0.36
Dy 0.325 0.325 0.649  0.35
Cd 0.665 0.665 0.329  0.01

two:
DyTmCd | PBE-GGA | relaxed

Calculated values
Spin magnetization ... 0.00 Bohr magnetons per cell
DOS(E_F) ... 3.91 states/eV/f.u.

Cell: 5.108 5.108 5.108 Å, 60.01 60.00 60.00°
Atoms (fractional coordinates):
Tm 0.750 0.750 0.750
Cd 0.000 0.000 0.000
Dy 0.250 0.250 0.250

three:
DyTmCd | PBE-GGA | relaxed

Calculated values
Spin magnetization ... 0.28 Bohr magnetons per cell
DOS(E_F) ... 4.33 states/eV/f.u.

Cell: 3.494 3.454 14.045 Å, 97.06 90.01 90.00°
Each line ends with the local moment (μB).
Atoms (fractional coordinates):
Cd 0.060 0.990 0.981  0.00
Dy 0.560 0.719 0.438  0.14
Dy 0.560 0.567 0.135  -0.04
Tm 0.060 0.827 0.655  0.09
Cd 0.060 0.144 0.287  0.00
Tm 0.560 0.415 0.829  0.04

Of them, two has the lowest stability.

one:
DyTmCd | PBE-GGA | relaxed

Calculated values
Spin magnetization ... 0.00 Bohr magnetons per cell
DOS(E_F) ... 3.76 states/eV/f.u.

Cell: 5.108 5.108 8.856 Å, 73.24 73.24 60.00°
Atoms (fractional coordinates):
Cd 0.250 0.250 0.249
Tm 0.626 0.626 0.122
Tm 0.374 0.374 0.878
Cd 0.750 0.750 0.751
Dy 0.124 0.124 0.628
Dy 0.876 0.876 0.372

two:
DyTmCd | PBE-GGA | relaxed

Calculated values
Spin magnetization ... 0.00 Bohr magnetons per cell
DOS(E_F) ... 3.45 states/eV/f.u.

Cell: 3.519 5.223 5.223 Å, 120.00 90.00 90.00°
Atoms (fractional coordinates):
Dy 0.621 0.667 0.333
Cd 0.313 0.333 0.667
Tm 0.067 0.000 0.000

Of them, one has the lowest stability.

one:
Dy3Tm2Cd2 | PBE-GGA | relaxed

Calculated values
Spin magnetization ... 0.00 Bohr magnetons per cell
DOS(E_F) ... 6.72 states/eV/f.u.

Cell: 5.060 3.449 11.534 Å, 90.00 77.33 90.00°
Atoms (fractional coordinates):
Dy 0.852 0.000 0.297
Cd 0.569 0.500 0.862
Cd 0.431 0.500 0.138
Dy 0.000 0.000 0.000
Tm 0.290 0.500 0.421
Dy 0.148 0.000 0.703
Tm 0.710 0.500 0.579

two:
Dy3Tm2Cd2 | PBE-GGA | relaxed

Calculated values
Spin magnetization ... 0.00 Bohr magnetons per cell
DOS(E_F) ... 7.24 states/eV/f.u.

Cell: 5.337 5.341 8.470 Å, 108.34 90.00 119.98°
Atoms (fractional coordinates):
Dy 0.500 0.000 0.000
Tm 0.074 0.147 0.721
Dy 0.657 0.313 0.470
Dy 0.343 0.687 0.530
Cd 0.211 0.423 0.134
Tm 0.926 0.853 0.279
Cd 0.789 0.577 0.866

Of them, one has the lowest stability.